# Sr2MnSiO6 | the Alexandria database | PBE with a Hubbard U | relaxed
data_Sr2MnSiO6
_chemical_formula_sum 'Sr8 Mn4 Si4 O24'
_symmetry_space_group_name_H-M 'F m -3 m'
_symmetry_Int_Tables_number 225
_symmetry_space_group_name_Hall '-F 4 2 3'
_cell_length_a 7.578
_cell_length_b 7.578
_cell_length_c 7.578
_cell_angle_alpha 90.00
_cell_angle_beta 90.00
_cell_angle_gamma 90.00
loop_
_atom_site_label
_atom_site_type_symbol
_atom_site_fract_x
_atom_site_fract_y
_atom_site_fract_z
Sr1 Sr 0.250 0.250 0.250
Mn1 Mn 0.000 0.000 0.000
Si1 Si 0.000 0.000 0.500
O1 O 0.000 0.000 0.259
# * VASP energy: -0.256 hartree per atom